The following is a DFT calculation (PBE) of a relaxed SrTe2PdI crystal.

The space group is P4/mmm (No. 123) and the conventional cell measures 5.400, 5.400 and 5.567 Å, with angles of 90.00, 90.00 and 90.00 degrees. The asymmetric unit holds Sr at (0.000, 0.000, 0.000), Te at (0.000, 0.500, 0.500), Pd at (0.500, 0.500, 0.500) and I at (0.500, 0.500, 0.000).

For the uncorrected formation energy, the calculation gives -0.62 eV/atom. The mass density comes out at 5.894 Mg/m³. For the density of states at the Fermi level, the calculation gives 2.898 states/eV/f.u. The calculation puts the distance to the lowest polymorph of the same formula at 0.00 eV/f.u. The value obtained for the electronic total energy is -3.56 eV/atom.